# Li4Cd2Pb | the Alexandria database | GGA-PBE | optimized geometry
data_Li4Cd2Pb
_symmetry_space_group_name_H-M 'I 4/m m m'
_symmetry_Int_Tables_number 139
_symmetry_space_group_name_Hall '-I 4 2'
_cell_length_a 5.1083
_cell_length_b 5.1083
_cell_length_c 14.4473
_cell_angle_alpha 90.00
_cell_angle_beta 90.00
_cell_angle_gamma 90.00
loop_
_atom_site_label
_atom_site_fract_x
_atom_site_fract_y
_atom_site_fract_z
Li1 0.0000 0.0000 0.1908
Li2 0.0000 0.5000 0.0000
Cd1 0.0000 0.0000 0.3873
Pb1 0.0000 0.0000 0.0000
# ΔE_f (meV/atom): 53
# Magnetization (μB/atom): 0.00